one | Entry from Alexandria: an optimized crystal structure of Y2Sc2B (PBE).

Cell: 6.7626 6.7626 5.2015 Å, 90.00 90.00 90.00°
With the nearest neighbours (Å) after each atom.
Element x y z (fractional)
Y 0.1616 0.6616 0.5000  1 Y 3.09, 6 Sc 3.10-3.40
Y 0.6616 0.8384 0.5000  1 Y 3.09, 6 Sc 3.10-3.40
Y 0.8384 0.3384 0.5000  1 Y 3.09, 6 Sc 3.10-3.40
Y 0.3384 0.1616 0.5000  1 Y 3.09, 6 Sc 3.10-3.40
Sc 0.3382 0.8382 0.0000  2 B 2.54
Sc 0.8382 0.6618 0.0000  2 B 2.54
Sc 0.6618 0.1618 0.0000  2 B 2.54
Sc 0.1618 0.3382 0.0000  2 B 2.54
B 0.0000 0.0000 0.0000  4 Sc 2.54
B 0.5000 0.5000 0.0000  4 Sc 2.54

Output
Volume = 23.79 Å³/atom
DOS(E_F) = 8.7 states/eV per cell

***

two | Entry from Alexandria: an optimized crystal structure of Y2Sc2B (PBE).

Cell: 3.9137 3.9137 8.6806 Å, 76.97 76.97 90.00°
With the nearest neighbours (Å) after each atom.
Element x y z (fractional)
Y 0.7500 0.2500 0.5000  4 Y 2.77
Y 0.2500 0.7500 0.5000  4 Y 2.77
Sc 0.4236 0.4236 0.1528  1 Sc 2.52
Sc 0.5764 0.5764 0.8472  1 Sc 2.52
B 0.0000 0.0000 0.0000  8 Sc 3.04

Output
Volume = 25.20 Å³/atom
DOS(E_F) = 6.1 states/eV per cell

***

Which one sits at the bottom of the stability order? two does.

***

one | Entry from Alexandria: an optimized crystal structure of Y2ScB2 (PBE).

Cell: 4.4714 4.4714 6.1594 Å, 68.72 68.72 90.00°
With the nearest neighbours (Å) after each atom.
Element x y z (fractional)
Y 0.3456 0.3456 0.3088  4 B 2.45
Y 0.6544 0.6544 0.6912  4 B 2.45
Sc 0.0000 0.0000 0.0000  8 B 3.46, 10 Y 3.56-3.65
B 0.7500 0.2500 0.5000  4 Y 2.45
B 0.2500 0.7500 0.5000  4 Y 2.45

Output
Volume = 21.14 Å³/atom
DOS(E_F) = 3.9 states/eV per cell

***

two | Entry from Alexandria: an optimized crystal structure of Y2ScB2 (PBE).

Cell: 7.6751 7.6751 3.0595 Å, 90.00 90.00 90.00°
With the nearest neighbours (Å) after each atom.
Element x y z (fractional)
Y 0.3670 0.8670 0.0000  6 B 2.63-2.80, 1 Y 2.89
Y 0.8670 0.6330 0.0000  6 B 2.63-2.80, 1 Y 2.89
Y 0.6330 0.1330 0.0000  6 B 2.63-2.80, 1 Y 2.89
Y 0.1330 0.3670 0.0000  6 B 2.63-2.80, 1 Y 2.89
Sc 0.0000 0.0000 0.0000  4 Y 3.00, 2 Sc 3.06, 8 B 3.23
Sc 0.5000 0.5000 0.0000  4 Y 3.00, 2 Sc 3.06, 8 B 3.23
B 0.1705 0.6705 0.5000  6 Y 2.63-2.80
B 0.6705 0.8295 0.5000  6 Y 2.63-2.80
B 0.8295 0.3295 0.5000  6 Y 2.63-2.80
B 0.3295 0.1705 0.5000  6 Y 2.63-2.80

Output
Volume = 18.02 Å³/atom
DOS(E_F) = 4.4 states/eV per cell

***

Which one sits at the bottom of the stability order? one does.

***

one | Entry from Alexandria: an optimized crystal structure of ScZnB3 (PBE).

Cell: 3.9812 3.9812 3.9812 Å, 90.00 90.00 90.00°
With the nearest neighbours (Å) after each atom.
Element x y z (fractional)
Sc 0.5000 0.5000 0.5000  12 B 2.82
Zn 0.0000 0.0000 0.0000  6 B 1.99
B 0.0000 0.5000 0.0000  2 Zn 1.99
B 0.0000 0.0000 0.5000  2 Zn 1.99
B 0.5000 0.0000 0.0000  2 Zn 1.99

Output
Volume = 12.62 Å³/atom
DOS(E_F) = 1.6 states/eV per cell

***

two | Entry from Alexandria: an optimized crystal structure of ScZnB3 (PBE).

Cell: 4.3810 4.3810 4.3810 Å, 90.00 90.00 90.00°
With the nearest neighbours (Å) after each atom.
Element x y z (fractional)
Sc 0.0000 0.0000 0.0000  6 B 2.19
Zn 0.5000 0.5000 0.5000  12 B 3.10
B 0.0000 0.5000 0.0000  2 Sc 2.19
B 0.0000 0.0000 0.5000  2 Sc 2.19
B 0.5000 0.0000 0.0000  2 Sc 2.19

Output
Volume = 16.82 Å³/atom
DOS(E_F) = 2.8 states/eV per cell

***

Which one sits at the bottom of the stability order? two does.

***

one | Entry from Alexandria: an optimized crystal structure of ScZn3B (PBE).

Cell: 4.2192 4.2192 4.2192 Å, 90.00 90.00 90.00°
With the nearest neighbours (Å) after each atom.
Element x y z (fractional)
Sc 0.5000 0.5000 0.5000  12 Zn 2.98
Zn 0.0000 0.5000 0.0000  2 B 2.11
Zn 0.0000 0.0000 0.5000  2 B 2.11
Zn 0.5000 0.0000 0.0000  2 B 2.11
B 0.0000 0.0000 0.0000  6 Zn 2.11

Output
Volume = 15.02 Å³/atom
DOS(E_F) = 3.8 states/eV per cell

***

two | Entry from Alexandria: an optimized crystal structure of ScZn3B (PBE).

Cell: 5.2537 5.2537 5.2537 Å, 90.00 90.00 90.00°
With the nearest neighbours (Å) after each atom.
Element x y z (fractional)
Sc 0.0000 0.0000 0.0000  6 Zn 2.63
Zn 0.0000 0.5000 0.0000  2 Sc 2.63
Zn 0.0000 0.0000 0.5000  2 Sc 2.63
Zn 0.5000 0.0000 0.0000  2 Sc 2.63
B 0.5000 0.5000 0.5000  12 Zn 3.71

Output
Volume = 29.00 Å³/atom
DOS(E_F) = 6.9 states/eV per cell

***

Which one sits at the bottom of the stability order? two does.

***

one | Entry from Alexandria: an optimized crystal structure of ScZnB (PBE).

Cell: 5.2066 4.1099 7.5747 Å, 90.00 90.00 90.00°
With the nearest neighbours (Å) after each atom.
Element x y z (fractional)
Sc 0.2069 0.2500 0.4158  5 B 2.47-2.63, 3 Zn 2.66-2.72
Sc 0.2931 0.7500 0.9158  5 B 2.47-2.63, 3 Zn 2.66-2.72
Sc 0.7931 0.7500 0.5842  5 B 2.47-2.63, 3 Zn 2.66-2.72
Sc 0.7069 0.2500 0.0842  5 B 2.47-2.63, 3 Zn 2.66-2.72
Zn 0.9972 0.2500 0.7958  3 B 2.46-2.47, 3 Sc 2.66-2.72, 2 Zn 2.69
Zn 0.5028 0.7500 0.2958  3 B 2.46-2.47, 3 Sc 2.66-2.72, 2 Zn 2.69
Zn 0.0028 0.7500 0.2042  3 B 2.46-2.47, 3 Sc 2.66-2.72, 2 Zn 2.69
Zn 0.4972 0.2500 0.7042  3 B 2.46-2.47, 3 Sc 2.66-2.72, 2 Zn 2.69
B 0.7017 0.2500 0.4103  3 Zn 2.46-2.47, 5 Sc 2.47-2.63
B 0.7983 0.7500 0.9103  3 Zn 2.46-2.47, 5 Sc 2.47-2.63
B 0.2983 0.7500 0.5897  3 Zn 2.46-2.47, 5 Sc 2.47-2.63
B 0.2017 0.2500 0.0897  3 Zn 2.46-2.47, 5 Sc 2.47-2.63

Output
Volume = 13.51 Å³/atom
DOS(E_F) = 2.2 states/eV per cell

***

two | Entry from Alexandria: an optimized crystal structure of ScZnB (PBE).

Cell: 4.2232 4.2232 5.2241 Å, 90.00 90.00 120.00°
With the nearest neighbours (Å) after each atom.
Element x y z (fractional)
Sc 0.3333 0.6667 0.7500  5 B 2.44-2.61
Sc 0.6667 0.3333 0.2500  5 B 2.44-2.61
Zn 0.0000 0.0000 0.0000  2 Zn 2.61, 6 B 2.77, 6 Sc 2.77
Zn 0.0000 0.0000 0.5000  2 Zn 2.61, 6 B 2.77, 6 Sc 2.77
B 0.3333 0.6667 0.2500  5 Sc 2.44-2.61
B 0.6667 0.3333 0.7500  5 Sc 2.44-2.61

Output
Volume = 13.45 Å³/atom
DOS(E_F) = 0.9 states/eV per cell

***

three | Entry from Alexandria: an optimized crystal structure of ScZnB (PBE).

Cell: 3.1515 3.1509 10.2618 Å, 81.16 81.14 59.99°
With the nearest neighbours (Å) after each atom.
Element x y z (fractional)
Sc 0.5435 0.0111 0.0179  6 B 2.51
Sc 0.4287 0.8972 0.3604  6 B 2.51
Zn 0.9538 0.4202 0.7884  3 Zn 2.70-2.71, 3 Sc 2.95
Zn 0.6859 0.1537 0.5900  3 Zn 2.70-2.71, 3 Sc 2.95
B 0.8194 0.2875 0.1891  3 B 1.82
B 0.1530 0.6210 0.1886  3 B 1.82

Output
Volume = 14.47 Å³/atom
DOS(E_F) = 4.8 states/eV per cell

***

four | Entry from Alexandria: an optimized crystal structure of ScZnB (PBE).

Cell: 3.1133 4.6343 7.1266 Å, 92.91 77.31 109.64°
With the nearest neighbours (Å) after each atom.
Element x y z (fractional)
Sc 0.2435 0.5270 0.6996  6 B 2.42-2.57
Sc 0.6681 0.0303 0.3539  3 B 2.37-2.50
Zn 0.0571 0.5958 0.1404  3 Zn 2.61-2.67, 3 Sc 2.85-2.89
Zn 0.4079 0.1574 0.0021  1 B 2.18
B 0.0055 0.9854 0.6339  2 B 1.68
B 0.5314 0.0949 0.6917  2 B 1.68

Output
Volume = 15.74 Å³/atom
DOS(E_F) = 4.5 states/eV per cell

***

Which one sits at the bottom of the stability order? two does.

***

one | Entry from Alexandria: an optimized crystal structure of ScZnB (PBE).

Cell: 3.1526 3.1525 10.2503 Å, 98.87 81.12 119.99°
With the nearest neighbours (Å) after each atom.
Element x y z (fractional)
Sc 0.5104 0.7497 0.0175  6 B 2.51
Sc 0.3957 0.8643 0.3606  6 B 2.51
Zn 0.2531 0.0058 0.7878  3 Zn 2.70, 3 Sc 2.94-2.95
Zn 0.6531 0.6066 0.5903  3 Zn 2.70, 3 Sc 2.94-2.95
B 0.7863 0.4739 0.1891  3 B 1.82
B 0.1198 0.1404 0.1890  3 B 1.82

Output
Volume = 14.47 Å³/atom
DOS(E_F) = 5.4 states/eV per cell

***

two | Entry from Alexandria: an optimized crystal structure of ScZnB (PBE).

Cell: 3.1527 3.1526 10.0747 Å, 90.00 90.01 60.00°
With the nearest neighbours (Å) after each atom.
Element x y z (fractional)
Sc 0.1238 0.6850 0.0175  6 B 2.51
Sc 0.1240 0.6849 0.3606  6 B 2.51
Zn 0.4572 0.0181 0.7880  3 Zn 2.70, 3 Sc 2.94
Zn 0.7909 0.3513 0.5901  3 Zn 2.70, 3 Sc 2.94
B 0.7905 0.3516 0.1887  3 B 1.82
B 0.4572 0.0183 0.1893  3 B 1.82

Output
Volume = 14.45 Å³/atom
DOS(E_F) = 3.7 states/eV per cell

***

three | Entry from Alexandria: an optimized crystal structure of ScZnB (PBE).

Cell: 4.8305 3.1556 5.7249 Å, 73.98 96.29 90.00°
With the nearest neighbours (Å) after each atom.
Element x y z (fractional)
Sc 0.2736 0.8361 0.9639  3 B 2.46-2.53
Sc 0.5878 0.1107 0.4142  3 B 2.46-2.53
Zn 0.1062 0.5576 0.5211  3 B 2.20-2.34
Zn 0.7552 0.3895 0.8569  3 B 2.21-2.34
B 0.0283 0.2146 0.2066  2 B 1.84
B 0.8331 0.7322 0.1715  2 B 1.84

Output
Volume = 13.89 Å³/atom
DOS(E_F) = 2.8 states/eV per cell

***

Which one sits at the bottom of the stability order? three does.

***

one | Entry from Alexandria: an optimized crystal structure of ScZnB (PBE).

Cell: 3.8270 3.1802 7.2197 Å, 102.76 105.36 90.00°
With the nearest neighbours (Å) after each atom.
Element x y z (fractional)
Sc 0.3356 0.1726 0.9986  6 B 2.56-2.64, 4 Zn 2.84
Sc 0.5259 0.8638 0.3795  6 B 2.56-2.64, 4 Zn 2.84
Zn 0.1272 0.4656 0.5821  1 B 2.26, 2 Zn 2.40
Zn 0.7341 0.5708 0.7960  1 B 2.26, 2 Zn 2.40
B 0.9007 0.7382 0.1293  2 B 1.78
B 0.9609 0.2982 0.2488  2 B 1.78

Output
Volume = 13.75 Å³/atom
DOS(E_F) = 3.2 states/eV per cell

***

two | Entry from Alexandria: an optimized crystal structure of ScZnB (PBE).

Cell: 3.1240 4.1946 7.2801 Å, 89.44 77.65 90.00°
With the nearest neighbours (Å) after each atom.
Element x y z (fractional)
Sc 0.8684 0.4049 0.8293  3 B 2.36-2.40
Sc 0.5782 0.8969 0.4090  6 B 2.43-2.69
Zn 0.1848 0.4001 0.1941  1 B 2.12
Zn 0.2744 0.9028 0.0164  2 Zn 2.45
B 0.0371 0.3923 0.4916  2 B 1.69
B 0.4920 0.3939 0.5811  2 B 1.69

Output
Volume = 15.53 Å³/atom
DOS(E_F) = 2.7 states/eV per cell

***

Which one sits at the bottom of the stability order? two does.

***

one | Entry from Alexandria: an optimized crystal structure of ScZnB (PBE).

Cell: 3.9363 3.9363 3.9363 Å, 60.00 60.00 60.00°
With the nearest neighbours (Å) after each atom.
Element x y z (fractional)
Sc 0.2500 0.2500 0.2500  4 B 2.41
Zn 0.7500 0.7500 0.7500  4 B 2.41
B 0.0000 0.0000 0.0000  4 Zn 2.41, 4 Sc 2.41

Output
Volume = 14.38 Å³/atom
DOS(E_F) = 0.0 states/eV per cell

***

two | Entry from Alexandria: an optimized crystal structure of ScZnB (PBE).

Cell: 3.6416 3.6416 9.2338 Å, 90.00 90.00 120.00°
With the nearest neighbours (Å) after each atom.
Element x y z (fractional)
Sc 0.0000 0.0000 0.0000  2 B 2.31
Sc 0.0000 0.0000 0.5000  2 B 2.31
Zn 0.3333 0.6667 0.2500  3 B 2.10
Zn 0.6667 0.3333 0.7500  3 B 2.10
B 0.0000 0.0000 0.2500  3 Zn 2.10, 2 Sc 2.31
B 0.0000 0.0000 0.7500  3 Zn 2.10, 2 Sc 2.31

Output
Volume = 17.67 Å³/atom
DOS(E_F) = 4.7 states/eV per cell

***

Which one sits at the bottom of the stability order? two does.

***

one | Entry from Alexandria: an optimized crystal structure of ScZnB (PBE).

Cell: 7.2203 3.2014 3.9454 Å, 90.00 105.85 102.76°
With the nearest neighbours (Å) after each atom.
Element x y z (fractional)
Sc 0.2747 0.6314 0.2223  3 B 2.51-2.67, 4 Zn 2.68
Sc 0.7567 0.8717 0.4635  6 B 2.52-2.68, 1 Zn 2.66
Zn 0.1500 0.0695 0.6600  2 B 2.25
Zn 0.5341 0.2612 0.8523  1 B 2.34, 1 Zn 2.60
B 0.9891 0.9887 0.0796  2 B 1.76
B 0.8796 0.4338 0.0252  2 B 1.76

Output
Volume = 14.23 Å³/atom
DOS(E_F) = 4.1 states/eV per cell

***

two | Entry from Alexandria: an optimized crystal structure of ScZnB (PBE).

Cell: 3.8579 3.8579 5.8523 Å, 90.00 90.00 90.00°
With the nearest neighbours (Å) after each atom.
Element x y z (fractional)
Sc 0.0000 0.5000 0.2162  4 B 2.55, 4 Zn 2.77
Sc 0.5000 0.0000 0.7838  4 B 2.55, 4 Zn 2.77
Zn 0.0000 0.5000 0.7061  4 B 2.28
Zn 0.5000 0.0000 0.2939  4 B 2.28
B 0.0000 0.0000 0.5000  4 Zn 2.28, 4 Sc 2.55
B 0.5000 0.5000 0.5000  4 Zn 2.28, 4 Sc 2.55

Output
Volume = 14.52 Å³/atom
DOS(E_F) = 3.6 states/eV per cell

***

Which one sits at the bottom of the stability order? two does.

***

one | Entry from Alexandria: an optimized crystal structure of ScZnB (PBE).

Cell: 5.0844 3.1234 12.2370 Å, 90.00 90.00 90.00°
With the nearest neighbours (Å) after each atom.
Element x y z (fractional)
Sc 0.3070 0.2500 0.3299  2 B 2.43
Sc 0.1930 0.7500 0.8299  2 B 2.43
Sc 0.6930 0.7500 0.6701  2 B 2.43
Sc 0.8070 0.2500 0.1701  2 B 2.43
Zn 0.6828 0.2500 0.8758  2 B 2.35
Zn 0.8172 0.7500 0.3758  2 B 2.35
Zn 0.3172 0.7500 0.1242  2 B 2.35
Zn 0.1828 0.2500 0.6242  2 B 2.35
B 0.0000 0.0000 0.0000  2 B 1.56
B 0.5000 0.5000 0.5000  2 B 1.56
B 0.5000 0.0000 0.5000  2 B 1.56
B 0.0000 0.5000 0.0000  2 B 1.56

Output
Volume = 16.19 Å³/atom
DOS(E_F) = 8.7 states/eV per cell

***

two | Entry from Alexandria: an optimized crystal structure of ScZnB (PBE).

Cell: 7.9423 3.1427 3.4433 Å, 90.00 77.48 90.00°
With the nearest neighbours (Å) after each atom.
Element x y z (fractional)
Sc 0.3193 0.5062 0.9255  1 B 2.57
Sc 0.7602 0.5062 0.7051  6 B 2.47-2.53
Zn 0.0857 0.0066 0.5424  6 B 2.31-2.45
Zn 0.5435 0.0064 0.3131  1 B 2.67, 8 Sc 2.87-2.91
B 0.8879 0.0062 0.1411  2 B 1.75
B 0.9877 0.5062 0.0913  2 B 1.75

Output
Volume = 13.98 Å³/atom
DOS(E_F) = 2.0 states/eV per cell

***

Which one sits at the bottom of the stability order? one does.

***

one | Entry from Alexandria: an optimized crystal structure of ZrScB2 (PBE).

Cell: 4.2434 4.2434 4.2434 Å, 60.00 60.00 60.00°
With the nearest neighbours (Å) after each atom.
Element x y z (fractional)
Sc 0.0000 0.0000 0.0000  8 B 2.60
B 0.2500 0.2500 0.2500  4 Zr 2.60, 4 Sc 2.60
B 0.7500 0.7500 0.7500  4 Sc 2.60, 4 Zr 2.60
Zr 0.5000 0.5000 0.5000  8 B 2.60

Output
Volume = 13.51 Å³/atom
DOS(E_F) = 4.2 states/eV per cell

***

two | Entry from Alexandria: an optimized crystal structure of ZrScB2 (PBE).

Cell: 6.3056 6.3056 5.4230 Å, 54.45 54.45 90.00°
With the nearest neighbours (Å) after each atom.
Element x y z (fractional)
Sc 0.5000 0.5000 0.0000  4 B 2.36
Sc 0.2500 0.7500 0.5000  4 B 2.36
B 0.6251 0.1250 0.2500  2 Zr 2.36, 2 Sc 2.36
B 0.1249 0.6250 0.2500  2 Zr 2.36, 2 Sc 2.36
B 0.3750 0.3749 0.7500  2 Zr 2.36, 2 Sc 2.36
B 0.8750 0.8751 0.7500  2 Zr 2.36, 2 Sc 2.36
Zr 0.0000 0.0000 0.0000  4 B 2.36
Zr 0.7500 0.2500 0.5000  4 B 2.36

Output
Volume = 15.34 Å³/atom
DOS(E_F) = 5.8 states/eV per cell

***

Which one sits at the bottom of the stability order? two does.

***

one | Entry from Alexandria: an optimized crystal structure of ZrScB3 (PBE).

Cell: 4.2972 4.2972 4.2972 Å, 90.00 90.00 90.00°
With the nearest neighbours (Å) after each atom.
Element x y z (fractional)
Sc 0.5000 0.5000 0.5000  12 B 3.04
B 0.0000 0.5000 0.0000  2 Zr 2.15
B 0.0000 0.0000 0.5000  2 Zr 2.15
B 0.5000 0.0000 0.0000  2 Zr 2.15
Zr 0.0000 0.0000 0.0000  6 B 2.15

Output
Volume = 15.87 Å³/atom
DOS(E_F) = 0.8 states/eV per cell

***

two | Entry from Alexandria: an optimized crystal structure of ZrScB3 (PBE).

Cell: 4.1221 4.1221 4.1221 Å, 90.00 90.00 90.00°
With the nearest neighbours (Å) after each atom.
Element x y z (fractional)
Sc 0.0000 0.0000 0.0000  6 B 2.06
B 0.0000 0.5000 0.0000  2 Sc 2.06
B 0.0000 0.0000 0.5000  2 Sc 2.06
B 0.5000 0.0000 0.0000  2 Sc 2.06
Zr 0.5000 0.5000 0.5000  12 B 2.91

Output
Volume = 14.01 Å³/atom
DOS(E_F) = 0.7 states/eV per cell

***

Which one sits at the bottom of the stability order? two does.